Record 1
VASP calculation (PBE-GGA) on a relaxed structure of PuScHg.

## Properties
**Theoretical density**: 11.09 Mg/m³
**Magnetization**: 12.5 Bohr magnetons per cell
**Energy of formation from the pure elements**: -109 meV/atom
**VASP energy**: -7.10 eV per atom
**E above lowest polymorph**: 0 meV/atom
**V**: 24.4 Å³ per atom

a b c (Å): 3.308 3.308 13.395
angles (deg): 90.00 90.00 90.00
Space group I4mm (No. 107)
Unique sites:
Pu1 0.000 0.000 0.000 [2 per cell]
Sc1 0.000 0.000 0.681 [2 per cell]
Hg1 0.000 0.000 0.324 [2 per cell]

Record 2
VASP calculation (PBE-GGA) on a relaxed structure of BaTlHgO3.

## Properties
**Theoretical density**: 8.02 Mg/m³
**Formation energy (no corrections)**: -1.0922 eV/atom
**Magnetization**: 0.0 Bohr magnetons per cell
**VASP energy**: -4.34 eV per atom
**V**: 20.4 Å³ per atom

a b c (Å): 10.210 7.390 7.275
angles (deg): 90.00 116.98 90.00
Space group C2/m (No. 12)
Unique sites:
Ba1 0.205 0.000 0.127 [4 per cell]
Tl1 0.087 0.500 0.211 [4 per cell]
Hg1 0.000 0.206 0.500 [4 per cell]
O1 0.076 0.254 0.814 [8 per cell]
O2 0.232 0.000 0.501 [4 per cell]

Record 3
VASP calculation (PBE-GGA) on a relaxed structure of TlNi2Rh.

## Properties
**Theoretical density**: 12.15 Mg/m³
**Magnetization**: 1.3 Bohr magnetons per cell
**Energy of formation from the pure elements**: 206 meV/atom
**VASP energy**: -5.11 eV per atom
**E above lowest polymorph**: 10 meV/atom
**V**: 14.5 Å³ per atom

a b c (Å): 3.980 3.980 7.329
angles (deg): 90.00 90.00 90.00
Space group I4/mmm (No. 139)
Unique sites:
Tl1 0.000 0.000 0.000 [2 per cell]
Ni1 0.000 0.500 0.250 [4 per cell]
Rh1 0.000 0.000 0.500 [2 per cell]

Record 4
VASP calculation (PBE-GGA) on a relaxed structure of CdHg2Se.

## Properties
**Theoretical density**: 9.24 Mg/m³
**Formation energy (no corrections)**: 0.0895 eV/atom
**Magnetization**: 0.0 Bohr magnetons per cell
**VASP energy**: -1.16 eV per atom
**V**: 26.6 Å³ per atom

a b c (Å): 4.242 6.477 7.747
angles (deg): 90.00 90.00 90.00
Space group Cmmm (No. 65)
Unique sites:
Cd1 0.000 0.000 0.000 [2 per cell]
Hg1 0.000 0.500 0.262 [4 per cell]
Se1 0.000 0.000 0.500 [2 per cell]

Record 5
VASP calculation (PBE-GGA) on a relaxed structure of YPbBr2.

## Properties
**Theoretical density**: 5.85 Mg/m³
**Formation energy (no corrections)**: -0.7692 eV/atom
**Magnetization**: 2.1 Bohr magnetons per cell
**VASP energy**: -4.15 eV per atom
**E above lowest polymorph**: 256 meV/atom
**V**: 32.3 Å³ per atom

a b c (Å): 3.8195 3.8195 30.7128
angles (deg): 90.00 90.00 120.00
Space group R3m (No. 160, hexagonal axes)
Unique sites:
Y1 0.0000 0.0000 0.0000 [3 per cell]
Pb1 0.0000 0.0000 0.2461 [3 per cell]
Br1 0.0000 0.0000 0.5102 [3 per cell]
Br2 0.0000 0.0000 0.7285 [3 per cell]

Record 6
VASP calculation (PBE-GGA) on a relaxed structure of Al4Br.

## Properties
**Theoretical density**: 2.33 Mg/m³
**Formation energy (no corrections)**: 0.7139 eV/atom
**Magnetization**: 0.0 Bohr magnetons per cell
**VASP energy**: -2.61 eV per atom
**E above lowest polymorph**: 564 meV/atom
**V**: 26.8 Å³ per atom

a b c (Å): 6.447 6.447 6.447
angles (deg): 90.00 90.00 90.00
Space group Im-3m (No. 229)
Unique sites:
Al1 0.250 0.250 0.250 [8 per cell]
Br1 0.000 0.000 0.000 [2 per cell]

Record 7
VASP calculation (PBE-GGA) on a relaxed structure of BaHgS3.

## Properties
**Theoretical density**: 3.03 Mg/m³
**Formation energy (no corrections)**: 0.3119 eV/atom
**Magnetization**: 4.0 Bohr magnetons per cell
**VASP energy**: -2.61 eV per atom
**E above lowest polymorph**: 806 meV/atom
**V**: 47.6 Å³ per atom

a b c (Å): 6.195 6.195 6.195
angles (deg): 90.00 90.00 90.00
Space group Pm-3m (No. 221)
Unique sites:
Ba1 0.000 0.000 0.000 [1 per cell]
Hg1 0.500 0.500 0.500 [1 per cell]
S1 0.000 0.000 0.500 [3 per cell]

Record 8
VASP calculation (PBE-GGA) on a relaxed structure of Er2TlSe.

## Properties
**Theoretical density**: 9.83 Mg/m³
**Formation energy (no corrections)**: -1.0144 eV/atom
**Magnetization**: 0.0 Bohr magnetons per cell
**VASP energy**: -4.76 eV per atom
**E above lowest polymorph**: 0 meV/atom
**V**: 26.1 Å³ per atom

a b c (Å): 3.8846 3.8846 23.9522
angles (deg): 90.00 90.00 120.00
Space group R-3m (No. 166, hexagonal axes)
Unique sites:
Er1 0.0000 0.0000 0.2391 [6 per cell]
Tl1 0.0000 0.0000 0.0000 [3 per cell]
Se1 0.0000 0.0000 0.5000 [3 per cell]

Record 9
VASP calculation (PBE-GGA) on a relaxed structure of ZrZnInAg.

## Properties
**Theoretical density**: 8.18 Mg/m³
**Magnetization**: 0.0 Bohr magnetons per cell
**Energy of formation from the pure elements**: -69 meV/atom
**VASP energy**: -3.92 eV per atom
**E above lowest polymorph**: 101 meV/atom
**V**: 19.3 Å³ per atom

a b c (Å): 6.754 6.754 6.754
angles (deg): 90.00 90.00 90.00
Space group F-43m (No. 216)
Unique sites:
Zr1 0.000 0.000 0.000 [4 per cell]
Zn1 0.250 0.250 0.750 [4 per cell]
In1 0.000 0.000 0.500 [4 per cell]
Ag1 0.250 0.250 0.250 [4 per cell]

Record 10
VASP calculation (PBE-GGA) on a relaxed structure of AcPuBrN2.

## Properties
**Theoretical density**: 7.81 Mg/m³
**Formation energy (no corrections)**: -1.4297 eV/atom
**Magnetization**: 8.0 Bohr magnetons per cell
**VASP energy**: -8.78 eV per atom
**V**: 24.6 Å³ per atom

a b c (Å): 7.700 4.241 8.091
angles (deg): 90.00 111.30 90.00
Space group P2_1/m (No. 11)
Unique sites:
Ac1 0.174 0.250 0.435 [2 per cell]
Pu1 0.138 0.250 0.928 [2 per cell]
Br1 0.481 0.750 0.738 [2 per cell]
N1 0.002 0.250 0.646 [2 per cell]
N2 0.038 0.750 0.911 [2 per cell]

Record 11
VASP calculation (PBE-GGA) on a relaxed structure of KRb2PbF8.

## Properties
**Theoretical density**: 3.80 Mg/m³
**Formation energy (no corrections)**: -2.2679 eV/atom
**Magnetization**: 1.2 Bohr magnetons per cell
**VASP energy**: -4.08 eV per atom
**V**: 20.7 Å³ per atom

a b c (Å): 5.152 8.198 5.910
angles (deg): 90.00 94.79 90.00
Space group P2/m (No. 10)
Unique sites:
K1 0.000 0.000 0.000 [1 per cell]
Rb1 0.500 0.259 0.500 [2 per cell]
Pb1 0.000 0.500 0.000 [1 per cell]
F1 0.082 0.307 0.777 [4 per cell]
F2 0.368 0.500 0.186 [2 per cell]
F3 0.498 0.000 0.830 [2 per cell]

Record 12
VASP calculation (PBE-GGA) on a relaxed structure of Be2IrI.

## Properties
**Theoretical density**: 9.74 Mg/m³
**Formation energy (no corrections)**: 0.8482 eV/atom
**Magnetization**: 0.0 Bohr magnetons per cell
**VASP energy**: -3.62 eV per atom
**E above lowest polymorph**: 454 meV/atom
**V**: 14.4 Å³ per atom

a b c (Å): 6.126 6.126 6.126
angles (deg): 90.00 90.00 90.00
Space group Fm-3m (No. 225)
Unique sites:
Be1 0.250 0.250 0.250 [8 per cell]
Ir1 0.000 0.000 0.000 [4 per cell]
I1 0.000 0.000 0.500 [4 per cell]